{"formula": "Tb3Hg2Pb", "functional": "PBE", "state": "relaxed", "e_tot_ev_per_cell": -21.039, "e_above_lowest_polymorph_ev_per_atom": 0.0023, "sg": "P4/mmm", "e_form_mev_per_atom": -473, "lattice": [[3.729, 0.000, 0.000], [0.000, 3.729, 0.000], [0.000, 0.000, 11.606]], "species": ["Tb", "Tb", "Tb", "Hg", "Hg", "Pb"], "frac_coords": [[0.000, 0.000, 0.000], [0.000, 0.000, 0.320], [0.000, 0.000, 0.680], [0.500, 0.500, 0.156], [0.500, 0.500, 0.844], [0.500, 0.500, 0.500]]}

{"formula": "Tb4HgPb3", "functional": "PBE", "state": "relaxed", "e_tot_ev_per_cell": -33.796, "sg": "Pmm2", "e_form_mev_per_atom": -481, "lattice": [[4.462, 0.000, 0.000], [0.000, 4.478, 0.000], [0.000, 0.000, 11.659]], "species": ["Tb", "Tb", "Tb", "Tb", "Hg", "Pb", "Pb", "Pb"], "frac_coords": [[0.000, 0.000, 0.000], [0.000, 0.500, 0.493], [0.500, 0.000, 0.730], [0.500, 0.500, 0.231], [0.000, 0.000, 0.268], [0.000, 0.500, 0.761], [0.500, 0.000, 0.453], [0.500, 0.500, 0.962]]}

{"formula": "Tb5Hg2Pb", "functional": "PBE", "state": "relaxed", "e_tot_ev_per_cell": -61.621, "sg": "I4/mcm", "e_form_mev_per_atom": -418, "lattice": [[-4.173, 4.173, 6.579], [4.173, -4.173, 6.579], [4.173, 4.173, -6.579]], "species": ["Tb", "Tb", "Tb", "Tb", "Tb", "Tb", "Tb", "Tb", "Tb", "Tb", "Hg", "Hg", "Hg", "Hg", "Pb", "Pb"], "frac_coords": [[0.000, 0.000, 0.000], [0.006, 0.506, 0.808], [0.198, 0.006, 0.500], [0.302, 0.802, 0.808], [0.494, 0.302, 0.500], [0.500, 0.500, 0.000], [0.506, 0.698, 0.500], [0.698, 0.198, 0.192], [0.802, 0.994, 0.500], [0.994, 0.494, 0.192], [0.139, 0.361, 0.500], [0.361, 0.861, 0.221], [0.639, 0.139, 0.779], [0.861, 0.639, 0.500], [0.250, 0.250, 0.000], [0.750, 0.750, 0.000]]}

{"formula": "TbHgPb6", "functional": "PBE", "state": "relaxed", "e_tot_ev_per_cell": -27.995, "sg": "P4/mmm", "e_form_mev_per_atom": -102, "lattice": [[6.773, 0.000, 0.000], [0.000, 6.773, 0.000], [0.000, 0.000, 5.184]], "species": ["Tb", "Hg", "Pb", "Pb", "Pb", "Pb", "Pb", "Pb"], "frac_coords": [[0.000, 0.000, 0.000], [0.500, 0.500, 0.000], [0.000, 0.500, 0.000], [0.252, 0.252, 0.500], [0.252, 0.748, 0.500], [0.500, 0.000, 0.000], [0.748, 0.252, 0.500], [0.748, 0.748, 0.500]]}

{"formula": "Tb2Hg2Pb", "functional": "PBE", "state": "relaxed", "e_tot_ev_per_cell": -31.250, "sg": "P4/mbm", "e_form_mev_per_atom": -411, "lattice": [[8.188, 0.000, 0.000], [0.000, 8.188, 0.000], [0.000, 0.000, 4.053]], "species": ["Tb", "Tb", "Tb", "Tb", "Hg", "Hg", "Hg", "Hg", "Pb", "Pb"], "frac_coords": [[0.169, 0.331, 0.000], [0.331, 0.831, 0.000], [0.669, 0.169, 0.000], [0.831, 0.669, 0.000], [0.128, 0.628, 0.500], [0.372, 0.128, 0.500], [0.628, 0.872, 0.500], [0.872, 0.372, 0.500], [0.000, 0.000, 0.500], [0.500, 0.500, 0.500]]}

{"formula": "Tb8Hg2Pb", "functional": "PBE", "state": "relaxed", "e_tot_ev_per_cell": -43.940, "sg": "C2/m", "e_form_mev_per_atom": -235, "lattice": [[9.102, -2.565, 0.000], [9.102, 2.565, 0.000], [-1.949, 0.000, 7.064]], "species": ["Tb", "Tb", "Tb", "Tb", "Tb", "Tb", "Tb", "Tb", "Hg", "Hg", "Pb"], "frac_coords": [[0.029, 0.029, 0.250], [0.196, 0.196, 0.809], [0.331, 0.331, 0.543], [0.409, 0.409, 0.041], [0.591, 0.591, 0.959], [0.669, 0.669, 0.457], [0.804, 0.804, 0.191], [0.971, 0.971, 0.750], [0.193, 0.193, 0.214], [0.807, 0.807, 0.786], [0.500, 0.500, 0.500]]}

{"formula": "Tb5Hg4Pb", "functional": "PBE", "state": "relaxed", "e_tot_ev_per_cell": -32.825, "sg": "P4/mmm", "e_form_mev_per_atom": -476, "lattice": [[3.745, 0.000, 0.000], [0.000, 3.745, 0.000], [0.000, 0.000, 18.936]], "species": ["Tb", "Tb", "Tb", "Tb", "Tb", "Hg", "Hg", "Hg", "Hg", "Pb"], "frac_coords": [[0.000, 0.000, 0.000], [0.000, 0.000, 0.196], [0.000, 0.000, 0.392], [0.000, 0.000, 0.608], [0.000, 0.000, 0.804], [0.500, 0.500, 0.100], [0.500, 0.500, 0.292], [0.500, 0.500, 0.708], [0.500, 0.500, 0.900], [0.500, 0.500, 0.500]]}

{"formula": "Tb3Hg3Pb", "functional": "PBE", "state": "relaxed", "e_tot_ev_per_cell": -42.535, "sg": "P6_3/m", "e_form_mev_per_atom": -395, "lattice": [[9.301, 0.000, 0.000], [-4.650, 8.055, 0.000], [0.000, 0.000, 5.012]], "species": ["Tb", "Tb", "Tb", "Tb", "Tb", "Tb", "Hg", "Hg", "Hg", "Hg", "Hg", "Hg", "Pb", "Pb"], "frac_coords": [[0.099, 0.658, 0.250], [0.342, 0.441, 0.250], [0.441, 0.099, 0.750], [0.559, 0.901, 0.250], [0.658, 0.559, 0.750], [0.901, 0.342, 0.750], [0.034, 0.805, 0.750], [0.195, 0.229, 0.750], [0.229, 0.034, 0.250], [0.771, 0.966, 0.750], [0.805, 0.771, 0.250], [0.966, 0.195, 0.250], [0.333, 0.667, 0.750], [0.667, 0.333, 0.250]]}

{"formula": "Tb3HgPb2", "functional": "PBE", "state": "relaxed", "e_tot_ev_per_cell": -96.943, "e_above_lowest_polymorph_ev_per_atom": 0.0000, "sg": "Pnma", "e_form_mev_per_atom": -438, "lattice": [[12.529, 0.000, 0.000], [0.000, 4.747, 0.000], [0.000, 0.000, 11.663]], "species": ["Tb", "Tb", "Tb", "Tb", "Tb", "Tb", "Tb", "Tb", "Tb", "Tb", "Tb", "Tb", "Hg", "Hg", "Hg", "Hg", "Pb", "Pb", "Pb", "Pb", "Pb", "Pb", "Pb", "Pb"], "frac_coords": [[0.034, 0.250, 0.126], [0.139, 0.750, 0.574], [0.201, 0.250, 0.817], [0.299, 0.750, 0.317], [0.361, 0.250, 0.074], [0.466, 0.750, 0.626], [0.534, 0.250, 0.374], [0.639, 0.750, 0.926], [0.701, 0.250, 0.683], [0.799, 0.750, 0.183], [0.861, 0.250, 0.426], [0.966, 0.750, 0.874], [0.158, 0.250, 0.344], [0.342, 0.750, 0.844], [0.658, 0.250, 0.156], [0.842, 0.750, 0.656], [0.006, 0.750, 0.331], [0.180, 0.750, 0.036], [0.320, 0.250, 0.536], [0.494, 0.250, 0.831], [0.506, 0.750, 0.169], [0.680, 0.750, 0.464], [0.820, 0.250, 0.964], [0.994, 0.250, 0.669]]}

{"formula": "Tb6Hg2Te3Pb", "functional": "PBE", "state": "relaxed", "e_tot_ev_per_cell": -52.316, "sg": "C2/m", "lattice": [[9.854, -2.146, 0.000], [9.854, 2.146, 0.000], [-3.100, 0.000, 8.393]], "species": ["Tb", "Tb", "Tb", "Tb", "Tb", "Tb", "Hg", "Hg", "Te", "Te", "Te", "Pb"], "frac_coords": [[0.009, 0.009, 0.253], [0.330, 0.330, 0.879], [0.337, 0.337, 0.388], [0.663, 0.663, 0.612], [0.670, 0.670, 0.121], [0.991, 0.991, 0.747], [0.183, 0.183, 0.384], [0.817, 0.817, 0.616], [0.162, 0.162, 0.861], [0.500, 0.500, 0.500], [0.838, 0.838, 0.139], [0.500, 0.500, 0.000]]}

{"formula": "TbThHgPb", "functional": "PBE", "state": "relaxed", "e_tot_ev_per_cell": -17.312, "sg": "F-43m", "e_form_mev_per_atom": -313, "lattice": [[0.000, 3.845, 3.845], [3.845, 0.000, 3.845], [3.845, 3.845, 0.000]], "species": ["Tb", "Th", "Hg", "Pb"], "frac_coords": [[0.000, 0.000, 0.000], [0.500, 0.500, 0.500], [0.750, 0.750, 0.750], [0.250, 0.250, 0.250]]}

{"formula": "TbTlHgPb", "functional": "PBE", "state": "relaxed", "e_tot_ev_per_cell": -11.722, "e_above_lowest_polymorph_ev_per_atom": 0.1358, "sg": "F-43m", "e_form_mev_per_atom": -179, "lattice": [[0.000, 3.827, 3.827], [3.827, 0.000, 3.827], [3.827, 3.827, 0.000]], "species": ["Tb", "Tl", "Hg", "Pb"], "frac_coords": [[0.000, 0.000, 0.000], [0.750, 0.750, 0.750], [0.250, 0.250, 0.250], [0.500, 0.500, 0.500]]}

{"formula": "TbTlHgPb", "functional": "PBE", "state": "relaxed", "e_tot_ev_per_cell": -12.265, "e_above_lowest_polymorph_ev_per_atom": 0.0000, "sg": "Pmmm", "e_form_mev_per_atom": -315, "lattice": [[4.637, 0.000, 0.000], [0.000, 4.718, 0.000], [0.000, 0.000, 4.867]], "species": ["Tb", "Tl", "Hg", "Pb"], "frac_coords": [[0.000, 0.000, 0.000], [0.500, 0.000, 0.500], [0.000, 0.500, 0.500], [0.500, 0.500, 0.000]]}

{"formula": "TbTmHgPb", "functional": "PBE", "state": "relaxed", "e_tot_ev_per_cell": -14.873, "e_above_lowest_polymorph_ev_per_atom": 0.0000, "sg": "P4mm", "e_form_mev_per_atom": -440, "lattice": [[3.818, 0.000, 0.000], [0.000, 3.818, 0.000], [0.000, 0.000, 7.319]], "species": ["Tb", "Tm", "Hg", "Pb"], "frac_coords": [[0.000, 0.000, 0.000], [0.000, 0.000, 0.517], [0.500, 0.500, 0.749], [0.500, 0.500, 0.262]]}

{"formula": "TbTmHgPb", "functional": "PBE", "state": "relaxed", "e_tot_ev_per_cell": -14.838, "e_above_lowest_polymorph_ev_per_atom": 0.0086, "sg": "F-43m", "e_form_mev_per_atom": -432, "lattice": [[0.000, 3.763, 3.763], [3.763, 0.000, 3.763], [3.763, 3.763, 0.000]], "species": ["Tb", "Tm", "Hg", "Pb"], "frac_coords": [[0.000, 0.000, 0.000], [0.500, 0.500, 0.500], [0.250, 0.250, 0.250], [0.750, 0.750, 0.750]]}

{"formula": "TbZnHgPb", "functional": "PBE", "state": "relaxed", "e_tot_ev_per_cell": -10.597, "sg": "F-43m", "e_form_mev_per_atom": -171, "lattice": [[0.000, 3.673, 3.673], [3.673, 0.000, 3.673], [3.673, 3.673, 0.000]], "species": ["Tb", "Zn", "Hg", "Pb"], "frac_coords": [[0.000, 0.000, 0.000], [0.750, 0.750, 0.750], [0.250, 0.250, 0.250], [0.500, 0.500, 0.500]]}

{"formula": "TbZrHgPb", "functional": "PBE", "state": "relaxed", "e_tot_ev_per_cell": -18.067, "sg": "F-43m", "e_form_mev_per_atom": -220, "lattice": [[0.000, 3.681, 3.681], [3.681, 0.000, 3.681], [3.681, 3.681, 0.000]], "species": ["Tb", "Zr", "Hg", "Pb"], "frac_coords": [[0.000, 0.000, 0.000], [0.500, 0.500, 0.500], [0.250, 0.250, 0.250], [0.750, 0.750, 0.750]]}

{"formula": "TcHg2Pb", "functional": "PBE", "state": "relaxed", "e_tot_ev_per_cell": -24.107, "sg": "I-42d", "e_form_mev_per_atom": 656, "lattice": [[-4.235, 4.235, 2.762], [4.235, -4.235, 2.762], [4.235, 4.235, -2.762]], "species": ["Tc", "Tc", "Hg", "Hg", "Hg", "Hg", "Pb", "Pb"], "frac_coords": [[0.000, 0.000, 0.000], [0.750, 0.250, 0.500], [0.065, 0.625, 0.940], [0.375, 0.315, 0.440], [0.685, 0.125, 0.060], [0.875, 0.935, 0.560], [0.250, 0.750, 0.500], [0.500, 0.500, 0.000]]}

{"formula": "TcHg2Pb", "functional": "PBE", "state": "relaxed", "e_tot_ev_per_cell": -12.265, "sg": "P2/m", "e_form_mev_per_atom": 603, "lattice": [[3.278, 0.000, 0.000], [0.000, 5.066, 0.000], [-1.555, 0.000, 5.433]], "species": ["Tc", "Hg", "Hg", "Pb"], "frac_coords": [[0.000, 0.000, 0.000], [0.367, 0.500, 0.226], [0.633, 0.500, 0.774], [0.000, 0.000, 0.500]]}

{"formula": "TcHg4Pb", "functional": "PBE", "state": "relaxed", "e_tot_ev_per_cell": -11.215, "sg": "F-43m", "e_form_mev_per_atom": 678, "lattice": [[0.000, 4.160, 4.160], [4.160, 0.000, 4.160], [4.160, 4.160, 0.000]], "species": ["Tc", "Hg", "Hg", "Hg", "Hg", "Pb"], "frac_coords": [[0.000, 0.000, 0.000], [0.124, 0.625, 0.625], [0.625, 0.124, 0.625], [0.625, 0.625, 0.124], [0.625, 0.625, 0.625], [0.250, 0.250, 0.250]]}